No. 1
Compound: Sc4NiHg3
Source: Alexandria
Functional: PBE-GGA
Structure: relaxed

```
Sc4NiHg3
1.0
3.288 0.000 0.000
0.000 3.288 0.000
0.000 0.000 15.082
Ni Hg Sc
1 3 4
direct
0.500 0.500 0.000
0.500 0.500 0.235
0.500 0.500 0.765
0.500 0.500 0.500
0.000 0.000 0.633
0.000 0.000 0.899
0.000 0.000 0.101
0.000 0.000 0.367
```

Results
- total energy (Ry per atom) = -0.3257
- energy relative to the elements (eV/atom) = -0.430
- N(E_F) (states/eV per cell) = 8.116

***

No. 2
Compound: Sc8Ni2Hg
Source: Alexandria
Functional: PBE-GGA
Structure: relaxed

```
Sc8Ni2Hg
1.0
4.867 -0.070 -0.105
-0.903 7.366 -0.181
-0.903 -3.004 6.728
Sc Hg Ni
8 1 2
direct
0.306 0.613 0.613
0.079 0.328 0.073
0.694 0.387 0.387
0.079 0.073 0.328
0.500 0.755 0.245
0.500 0.245 0.755
0.921 0.927 0.672
0.921 0.672 0.927
0.500 0.000 0.000
0.000 0.310 0.690
0.000 0.690 0.310
```

Results
- total energy (Ry per atom) = -0.4325
- excess energy over the best structure of this formula in the dataset (meV/atom) = 35
- energy relative to the elements (eV/atom) = -0.202
- N(E_F) (states/eV per cell) = 14.324

***

No. 3
Compound: Sc6Ni2Hg
Source: Alexandria
Functional: PBE-GGA
Structure: relaxed

```
Sc6Ni2Hg
1.0
7.358 -0.006 -2.638
-3.915 6.388 -2.229
-0.038 0.006 7.817
Sc Ni Hg
12 4 2
direct
0.104 0.291 0.813
0.298 0.623 0.325
0.702 0.377 0.675
0.478 0.291 0.187
0.522 0.709 0.813
0.702 0.028 0.325
0.208 0.235 0.443
0.792 0.235 0.028
0.208 0.765 0.972
0.896 0.709 0.187
0.298 0.972 0.675
0.792 0.765 0.557
0.500 0.629 0.129
0.500 0.371 0.871
0.644 0.000 0.644
0.356 0.000 0.356
0.000 0.000 0.000
0.000 0.500 0.500
```

Results
- total energy (Ry per atom) = -0.4339
- energy relative to the elements (eV/atom) = -0.364
- N(E_F) (states/eV per cell) = 21.805

***

No. 4
Compound: TbScNiHg
Source: Alexandria
Functional: PBE-GGA
Structure: relaxed

```
TbScNiHg
1.0
-1.971 -0.639 -4.468
-0.360 -4.526 -1.908
-4.415 -2.134 -0.462
Hg Tb Sc Ni
1 1 1 1
direct
0.750 0.750 0.750
0.000 0.000 0.000
0.500 0.500 0.500
0.250 0.250 0.250
```

Results
- total energy (Ry per atom) = -0.3380
- energy relative to the elements (eV/atom) = -0.337
- N(E_F) (states/eV per cell) = 3.023

***

No. 5
Compound: ScNiHgTe2
Source: Alexandria
Functional: PBE-GGA
Structure: relaxed

```
ScNiHgTe2
1.0
5.553 0.000 0.000
0.000 4.879 0.000
0.000 0.000 5.553
Te Sc Hg Ni
2 1 1 1
direct
0.500 0.000 0.000
0.000 0.000 0.500
0.000 0.000 0.000
0.500 0.500 0.500
0.000 0.500 0.000
```

Results
- E_form (uncorrected) (eV per atom) = 0.304
- total energy (Ry per atom) = -0.2525
- N(E_F) (states/eV per cell) = 6.867

***

No. 6
Compound: ThScNiHg
Source: Alexandria
Functional: PBE-GGA
Structure: relaxed

```
ThScNiHg
1.0
5.037 0.000 0.000
2.519 4.362 0.000
2.519 1.454 4.113
Sc Ni Hg Th
1 1 1 1
direct
0.500 0.500 0.500
0.250 0.250 0.250
0.750 0.750 0.750
0.000 0.000 0.000
```

Results
- total energy (Ry per atom) = -0.3790
- energy relative to the elements (eV/atom) = -0.198
- N(E_F) (states/eV per cell) = 4.374

***

No. 7
Compound: ScTiNiHg
Source: Alexandria
Functional: PBE-GGA
Structure: relaxed

```
ScTiNiHg
1.0
4.649 0.000 0.000
2.325 4.026 0.000
2.325 1.342 3.796
Ti Hg Ni Sc
1 1 1 1
direct
0.500 0.500 0.500
0.750 0.750 0.750
0.250 0.250 0.250
0.000 0.000 0.000
```

Results
- total energy (Ry per atom) = -0.3849
- energy relative to the elements (eV/atom) = -0.159
- N(E_F) (states/eV per cell) = 5.542

***

No. 8
Compound: TmScNiHg
Source: Alexandria
Functional: PBE-GGA
Structure: relaxed

```
TmScNiHg
1.0
4.875 0.000 0.000
2.437 4.222 0.000
2.437 1.407 3.980
Tm Ni Sc Hg
1 1 1 1
direct
0.250 0.250 0.250
0.500 0.500 0.500
0.750 0.750 0.750
0.000 0.000 0.000
```

Results
- total energy (Ry per atom) = -0.3375
- energy relative to the elements (eV/atom) = -0.371
- N(E_F) (states/eV per cell) = 2.227

***

Q: Which of these has the highest total energy?
A: ScNiHgTe2

***

Q: Among the records above, which one has the highest N(E_F)?
A: Sc6Ni2Hg